Entry 1:
DFT (PBE) results for a geometry-optimized K2PRu structure.

```
4
Lattice="3.1736 0.4279 0.0000 -0.4286 3.1735 0.0000 0.0000 0.0000 10.1579" Properties=species:S:1:pos:R:3 pbc="T T T"
P 0.0000 0.0000 5.8589
K 0.0000 0.0000 9.2973
K 1.3725 1.8007 3.4817
Ru 1.3725 1.8007 6.7569
```

electronic total energy = -4.194 eV/atom
symmetry = No. 99

Entry 2:
DFT (PBE) results for a geometry-optimized K2PRu structure.

```
4
Lattice="3.8070 0.0000 0.0000 0.0000 5.4064 -0.0022 0.0000 2.7076 5.8961" Properties=species:S:1:pos:R:3 pbc="T T T"
Ru 1.9035 5.0709 4.1741
K 1.9035 2.3679 2.0050
K 0.0000 7.7750 5.4660
P 0.0000 5.0710 3.0894
```

electronic total energy = -4.194 eV/atom
symmetry = No. 38

Entry 3:
DFT (PBE) results for a geometry-optimized KP2Ru structure.

```
4
Lattice="-1.6933 4.0775 1.2590 -2.5129 2.4540 -2.9565 -4.5122 0.4994 0.6850" Properties=species:S:1:pos:R:3 pbc="T T T"
K -4.3592 3.5154 -0.5063
P 0.0000 0.0000 0.0000
P -2.1796 1.7577 -0.2531
Ru -6.5388 5.2732 -0.7594
```

symmetry = No. 216
relative energy among the computed polymorphs = 122.5 kJ/mol of atoms

Entry 4:
DFT (PBE) results for a geometry-optimized KP2Ru structure.

```
4
Lattice="0.0000 3.1965 3.1965 3.1965 0.0000 3.1965 3.1965 3.1965 0.0000" Properties=species:S:1:pos:R:3 pbc="T T T"
P 4.7948 4.7948 4.7948
P 1.5983 1.5983 1.5983
K 0.0000 0.0000 0.0000
Ru 3.1965 3.1965 3.1965
```

symmetry = No. 225
relative energy among the computed polymorphs = 72.3 kJ/mol of atoms

Entry 5:
DFT (PBE) results for a geometry-optimized K2PRu structure.

```
4
Lattice="-2.8976 4.7826 -2.6742 -3.5964 -3.0237 3.2319 -1.0431 3.0243 1.6572" Properties=species:S:1:pos:R:3 pbc="T T T"
K 0.0000 0.0000 0.0000
K -1.9704 3.9035 -0.5085
P -2.3197 0.0003 2.4446
Ru -3.2470 0.8795 0.2789
```

electronic total energy = -3.524 eV/atom
symmetry = No. 12

Entry 6:
DFT (PBE) results for a geometry-optimized K2PRu structure.

```
4
Lattice="11.1759 -0.0268 -0.0157 10.7717 2.9784 -0.0157 10.7717 1.4486 2.6024" Properties=species:S:1:pos:R:3 pbc="T T T"
Ru 24.5395 3.3002 1.9283
P 8.1798 1.1001 0.6428
K 16.4612 2.2138 1.2935
K 32.6179 4.3866 2.5631
```

electronic total energy = -3.284 eV/atom
symmetry = No. 166

Entry 7:
DFT (PBE) results for a geometry-optimized K2PRu structure.

```
8
Lattice="12.4520 0.0000 0.0000 0.0000 12.4520 0.0000 6.2260 6.2260 2.2210" Properties=species:S:1:pos:R:3 pbc="T T T"
Ru 12.4520 6.2260 1.1105
Ru 0.0000 0.0000 0.0000
K 12.5620 9.3390 0.5553
K 12.3421 3.1130 0.5553
K 15.5650 6.1161 1.6658
K 9.3390 6.3360 1.6658
P 6.2260 12.4520 1.1105
P 6.2260 6.2260 0.0000
```

electronic total energy = -4.039 eV/atom
symmetry = No. 122

Entry 8:
DFT (PBE) results for a geometry-optimized KP2Ru structure.

```
4
Lattice="3.1741 0.0000 0.0000 0.0000 3.1741 0.0000 0.0000 0.0000 7.5028" Properties=species:S:1:pos:R:3 pbc="T T T"
K 1.5871 1.5871 5.7321
P 1.5871 1.5871 2.0403
P 0.0000 0.0000 0.5699
Ru 0.0000 0.0000 2.9119
```

symmetry = No. 99
relative energy among the computed polymorphs = 37.2 kJ/mol of atoms

Entry 9:
DFT (PBE) results for a geometry-optimized KP2Ru structure.

```
4
Lattice="-2.5343 1.2410 -0.5874 -0.4346 -2.2264 -2.8284 -3.7811 -5.4252 4.8515" Properties=species:S:1:pos:R:3 pbc="T T T"
Ru -1.1601 -1.6645 1.4885
K -4.3962 -4.6704 2.0281
P -2.9507 -2.5964 0.1734
P -0.1337 -0.1918 0.1716
```

symmetry = No. 25
relative energy among the computed polymorphs = 27.9 kJ/mol of atoms

Entry 10:
DFT (PBE) results for a geometry-optimized KP2Ru2 structure.

```
5
Lattice="4.0455 0.0000 0.0000 0.0000 4.0455 0.0000 -2.0227 -2.0227 6.2773" Properties=species:S:1:pos:R:3 pbc="T T T"
P 0.0000 0.0000 4.2703
P 2.0227 2.0227 2.0071
Ru 2.0227 0.0000 3.1387
Ru 0.0000 2.0227 3.1387
K 0.0000 0.0000 0.0000
```

electronic total energy = -6.730 eV/atom
symmetry = No. 139

Entry 11:
DFT (PBE) results for a geometry-optimized KPRu4 structure.

```
6
Lattice="-4.7767 -0.1013 -2.1927 -3.8561 2.9867 1.9609 -1.7387 4.1581 -2.7060" Properties=species:S:1:pos:R:3 pbc="T T T"
Ru -5.8246 4.1417 -0.1058
Ru -6.2902 2.5801 -2.2063
Ru -3.8746 2.6313 -1.0974
Ru -4.7538 4.7341 -2.4659
K -7.7787 5.2827 -2.2033
P 0.0000 0.0000 0.0000
```

electronic total energy = -6.231 eV/atom
symmetry = No. 216

Entry 12:
DFT (PBE) results for a geometry-optimized K4PRu structure.

```
6
Lattice="0.0000 4.5792 4.5792 4.5792 0.0000 4.5792 4.5792 4.5792 0.0000" Properties=species:S:1:pos:R:3 pbc="T T T"
Ru 0.0000 0.0000 0.0000
K 5.7084 3.4499 5.7084
K 3.4499 3.4499 3.4499
K 5.7084 5.7084 3.4499
K 3.4499 5.7084 5.7084
P 6.8687 6.8687 6.8687
```

electronic total energy = -2.077 eV/atom
symmetry = No. 216

Entry 13:
DFT (PBE) results for a geometry-optimized KP2Ru structure.

```
4
Lattice="-5.3755 0.0059 0.2291 0.2158 -4.2649 3.2730 1.4642 5.1685 0.3012" Properties=species:S:1:pos:R:3 pbc="T T T"
Ru -3.2455 1.5225 1.1406
P -4.6210 -3.8143 3.1365
P -3.1185 -2.5741 2.1166
K -0.4499 -0.6129 2.6626
```

symmetry = No. 71
relative energy among the computed polymorphs = 26.3 kJ/mol of atoms

Entry 14:
DFT (PBE) results for a geometry-optimized K2PRu structure.

```
4
Lattice="5.9978 0.0073 0.0000 3.3282 4.9896 0.0000 -4.6630 -2.4985 2.8262" Properties=species:S:1:pos:R:3 pbc="T T T"
Ru 1.6641 2.4948 1.4131
K 0.0000 0.0000 0.0000
K 4.6630 2.4985 0.0000
P 2.9989 0.0036 1.4131
```

electronic total energy = -3.483 eV/atom
symmetry = No. 139

Entry 15:
DFT (PBE) results for a geometry-optimized KP2Ru structure.

```
8
Lattice="6.7176 0.0000 0.0000 0.0000 6.7176 0.0000 3.3588 3.3588 4.8955" Properties=species:S:1:pos:R:3 pbc="T T T"
K 3.3588 3.3588 0.0000
K 3.3588 6.7176 2.4478
P 8.3970 2.5854 3.6717
P 7.4911 5.0382 1.2239
P 5.9442 1.6794 1.2239
P 5.0382 4.1323 3.6717
Ru 6.7176 3.3588 2.4478
Ru 0.0000 0.0000 0.0000
```

symmetry = No. 122
relative energy among the computed polymorphs = 5.1 kJ/mol of atoms

Entry 16:
DFT (PBE) results for a geometry-optimized K2PRu structure.

```
4
Lattice="-0.6419 2.2884 5.9440 0.1952 -4.3616 4.6817 3.1631 2.7055 -4.8637" Properties=species:S:1:pos:R:3 pbc="T T T"
Ru 1.1863 2.1523 2.3070
K -0.4379 -2.0324 10.4168
K 1.5495 -1.4301 2.9944
P -0.2515 -1.1672 5.9825
```

electronic total energy = -4.200 eV/atom
symmetry = No. 44

Entry 17:
DFT (PBE) results for a geometry-optimized KP2Ru structure.

```
4
Lattice="8.7721 0.0104 0.0061 8.2039 3.1059 0.0061 8.2039 1.5060 2.7163" Properties=species:S:1:pos:R:3 pbc="T T T"
Ru 13.2275 2.4282 1.4334
P 24.5667 4.5097 2.6622
P 6.3136 1.1590 0.6842
K 18.8419 3.4588 2.0418
```

symmetry = No. 160
relative energy among the computed polymorphs = 58.2 kJ/mol of atoms

Entry 18:
DFT (PBE) results for a geometry-optimized K2PRuS structure.

```
5
Lattice="6.4124 0.0000 0.0000 0.0000 4.3168 0.0000 0.0000 0.0000 6.4124" Properties=species:S:1:pos:R:3 pbc="T T T"
K 3.2062 0.0000 0.0000
K 0.0000 0.0000 3.2062
P 0.0000 0.0000 0.0000
Ru 3.2062 2.1584 3.2062
S 0.0000 2.1584 0.0000
```

ΔE_f (raw) = 878.9 meV per atom
symmetry = No. 123

Entry 19:
DFT (PBE) results for a geometry-optimized KP2RuS structure.

```
5
Lattice="-1.0904 1.0379 -4.2372 -1.8201 -4.0775 -0.5304 -4.8939 1.9583 1.7390" Properties=species:S:1:pos:R:3 pbc="T T T"
P -0.5452 0.5190 -2.1186
P -0.9100 -2.0388 -0.2652
K -3.9022 -0.5407 -1.5143
Ru 0.0000 0.0000 0.0000
S -2.4470 0.9791 0.8695
```

ΔE_f (raw) = 68.3 meV per atom
symmetry = No. 123
relative energy among the computed polymorphs = 0.0 kJ/mol of atoms

Entry 20:
DFT (PBE) results for a geometry-optimized KP2RuS structure.

```
5
Lattice="-1.1771 -4.8836 0.9870 4.8959 -1.3219 -0.7018 0.9338 0.7906 5.0253" Properties=species:S:1:pos:R:3 pbc="T T T"
S 0.4669 0.3953 2.5127
K 0.0000 0.0000 0.0000
Ru 2.3263 -2.7075 2.6553
P 2.4479 -0.6610 -0.3509
P -0.5886 -2.4418 0.4935
```

ΔE_f (raw) = 2376.3 meV per atom
symmetry = No. 123
relative energy among the computed polymorphs = 222.7 kJ/mol of atoms

Computed magnetization (μB/cell) in order:
0.00, 0.00, 0.00, 0.00, 0.07, 1.48, 0.00, 0.00, 0.00, 0.00, 3.18, 2.50, 0.00, 1.66, 0.00, 0.00, 0.00, 3.33, 0.00, 2.65